# 1
Below is a relaxed MgSc2Tl crystal, with properties calculated at the PBE level.

Its calculated volume is 317.4 Å³ per cell. The energy relative to the elements comes out at 0.151 eV/atom. The value obtained for the energy above the most stable polymorph in this dataset is 367 meV/atom. For the mass density, the calculation gives 5.00 Mg/m³.

a b c (Å): 3.3123 3.3123 33.4086
angles (deg): 90.00 90.00 120.00
Space group R-3m (No. 166, hexagonal axes)
One atom of each set of equivalent atoms:
Mg: 0.0000 0.0000 0.0000 x3
Sc: 0.0000 0.0000 0.4087 x6
Tl: 0.0000 0.0000 0.5000 x3

=====

# 2
Below is a relaxed MgScTl crystal, with properties calculated at the PBE level.

Its calculated volume is 142.1 Å³ per cell. The energy relative to the elements comes out at -0.033 eV/atom. For the mass density, the calculation gives 6.40 Mg/m³.

a b c (Å): 3.331 4.579 9.317
angles (deg): 90.00 90.00 90.00
Space group Imm2 (No. 44)
One atom of each set of equivalent atoms:
Mg: 0.000 0.000 0.000 x2
Sc: 0.000 0.000 0.339 x2
Tl: 0.000 0.000 0.671 x2

=====

# 3
Below is a relaxed MgSc2Tl crystal, with properties calculated at the PBE level.

Its calculated volume is 293.2 Å³ per cell. The energy relative to the elements comes out at -0.071 eV/atom. The value obtained for the energy above the most stable polymorph in this dataset is 145 meV/atom. For the mass density, the calculation gives 5.41 Mg/m³.

a b c (Å): 3.3527 3.3527 30.1195
angles (deg): 90.00 90.00 120.00
Space group R-3m (No. 166, hexagonal axes)
One atom of each set of equivalent atoms:
Mg: 0.0000 0.0000 0.0000 x3
Sc: 0.0000 0.0000 0.2496 x6
Tl: 0.0000 0.0000 0.5000 x3

=====

# 4
Below is a relaxed Mg3ScTl crystal, with properties calculated at the PBE level.

Its calculated volume is 147.3 Å³ per cell. The energy relative to the elements comes out at 0.496 eV/atom. The value obtained for the energy above the most stable polymorph in this dataset is 480 meV/atom. For the mass density, the calculation gives 3.63 Mg/m³.

a b c (Å): 5.281 5.281 5.281
angles (deg): 90.00 90.00 90.00
Space group Pm-3m (No. 221)
One atom of each set of equivalent atoms:
Mg: 0.000 0.000 0.500 x3
Sc: 0.500 0.500 0.500 x1
Tl: 0.000 0.000 0.000 x1

=====

# 5
Below is a relaxed MgSc2Tl crystal, with properties calculated at the PBE level.

Its calculated volume is 95.6 Å³ per cell. The energy relative to the elements comes out at -0.106 eV/atom. The value obtained for the energy above the most stable polymorph in this dataset is 110 meV/atom. For the mass density, the calculation gives 5.53 Mg/m³.

a b c (Å): 3.319 3.319 8.679
angles (deg): 90.00 90.00 90.00
Space group P4mm (No. 99)
One atom of each set of equivalent atoms:
Mg: 0.000 0.000 0.000 x1
Sc: 0.000 0.000 0.508 x1
Sc: 0.500 0.500 0.256 x1
Tl: 0.500 0.500 0.759 x1

=====

# 6
Below is a relaxed MgScTl2 crystal, with properties calculated at the PBE level.

Its calculated volume is 199.1 Å³ per cell. The energy relative to the elements comes out at -0.060 eV/atom. For the mass density, the calculation gives 7.97 Mg/m³.

a b c (Å): 5.946 3.440 9.928
angles (deg): 90.00 101.27 90.00
Space group Cm (No. 8)
One atom of each set of equivalent atoms:
Mg: 0.000 0.000 0.000 x2
Sc: 0.166 0.000 0.498 x2
Tl: 0.084 0.500 0.751 x2
Tl: 0.249 0.500 0.248 x2

=====

Which value of mass density does entry 2 give?
6.40 Mg/m³

=====

Which of these has the lowest calculated volume?
number 5

=====

What is the formula in the second record?
MgScTl

=====

What is the mass density in the third record?
5.41 Mg/m³